[1]
This record from Alexandria describes a PBEsol-optimized structure of HfZn3Sn. The functional is SCAN.

Results
DOS(E_F) (states/eV per cell): 4.374
Crystal system: cubic
Raw total energy (eV/cell): -134.3
ΔE_f (meV per atom): 974
Size of the total moment (μB/cell): 0.0

a = 5.0589 Å, b = 5.0589 Å, c = 5.0589 Å
α = 90.00°, β = 90.00°, γ = 90.00°
Closest atoms and distances in Å follow each position.
Space group Pm-3m (No. 221)
Asymmetric unit:
Hf 0.0000 0.0000 0.0000 [1 per cell]  6 Zn 2.53
Zn 0.0000 0.0000 0.5000 [3 per cell]  2 Hf 2.53
Sn 0.5000 0.5000 0.5000 [1 per cell]  12 Zn 3.58


[2]
This record from Alexandria describes a PBEsol-optimized structure of HfZr2Sn2. The functional is SCAN.

Results
DOS(E_F) (states/eV per cell): 8.496
Crystal system: tetragonal
Raw total energy (eV/cell): -397.5
ΔE_f (meV per atom): -567
Size of the total moment (μB/cell): 0.0

a = 7.5547 Å, b = 7.5547 Å, c = 3.8219 Å
α = 90.00°, β = 90.00°, γ = 90.00°
Closest atoms and distances in Å follow each position.
Space group P4/mbm (No. 127)
Asymmetric unit:
Hf 0.0000 0.0000 0.0000 [2 per cell]  4 Sn 2.94
Zr 0.1672 0.3328 0.5000 [4 per cell]  6 Sn 2.85-2.99
Sn 0.1352 0.6352 0.0000 [4 per cell]  6 Zr 2.85-2.99, 1 Sn 2.89, 2 Hf 2.94


[3]
This record from Alexandria describes a PBEsol-optimized structure of Hf3ZrSn. The functional is SCAN.

Results
DOS(E_F) (states/eV per cell): 7.776
Crystal system: cubic
Raw total energy (eV/cell): -249.6
ΔE_f (meV per atom): 1007
Size of the total moment (μB/cell): 1.6

a = 5.1515 Å, b = 5.1515 Å, c = 5.1515 Å
α = 90.00°, β = 90.00°, γ = 90.00°
Closest atoms and distances in Å follow each position.
Space group Pm-3m (No. 221)
Asymmetric unit:
Hf 0.0000 0.0000 0.5000 [3 per cell]  2 Sn 2.58
Zr 0.5000 0.5000 0.5000 [1 per cell]  12 Hf 3.64
Sn 0.0000 0.0000 0.0000 [1 per cell]  6 Hf 2.58


[4]
This record from Alexandria describes a PBEsol-optimized structure of Hf3ZrSn. The functional is SCAN.

Results
DOS(E_F) (states/eV per cell): 6.875
Crystal system: cubic
Raw total energy (eV/cell): -249.1
ΔE_f (meV per atom): 1117
Size of the total moment (μB/cell): 0.0

a = 5.0238 Å, b = 5.0238 Å, c = 5.0238 Å
α = 90.00°, β = 90.00°, γ = 90.00°
Closest atoms and distances in Å follow each position.
Space group Pm-3m (No. 221)
Asymmetric unit:
Hf 0.0000 0.0000 0.5000 [3 per cell]  2 Zr 2.51
Zr 0.0000 0.0000 0.0000 [1 per cell]  6 Hf 2.51
Sn 0.5000 0.5000 0.5000 [1 per cell]  12 Hf 3.55


[5]
This record from Alexandria describes a PBEsol-optimized structure of Hf2ZrSn2. The functional is SCAN.

Results
DOS(E_F) (states/eV per cell): 8.168
Crystal system: tetragonal
Raw total energy (eV/cell): -460.3
ΔE_f (meV per atom): -456
Size of the total moment (μB/cell): 0.0

a = 7.5620 Å, b = 7.5620 Å, c = 3.7795 Å
α = 90.00°, β = 90.00°, γ = 90.00°
Closest atoms and distances in Å follow each position.
Space group P4/mbm (No. 127)
Asymmetric unit:
Hf 0.1668 0.3332 0.0000 [4 per cell]  6 Sn 2.84-2.97
Zr 0.0000 0.0000 0.5000 [2 per cell]  4 Sn 2.94
Sn 0.1351 0.6351 0.5000 [4 per cell]  6 Hf 2.84-2.97, 1 Sn 2.89, 2 Zr 2.94


[6]
This record from Alexandria describes a PBEsol-optimized structure of SrHfTa2. The functional is SCAN.

Results
DOS(E_F) (states/eV per cell): 31.382
Crystal system: cubic
Raw total energy (eV/cell): -854.1
ΔE_f (meV per atom): 1147
Size of the total moment (μB/cell): 0.0

a = 7.0131 Å, b = 7.0131 Å, c = 7.0131 Å
α = 90.00°, β = 90.00°, γ = 90.00°
Closest atoms and distances in Å follow each position.
Space group Fm-3m (No. 225)
Asymmetric unit:
Sr 0.0000 0.0000 0.0000 [4 per cell]  8 Ta 3.04
Hf 0.0000 0.0000 0.5000 [4 per cell]  8 Ta 3.04
Ta 0.2500 0.2500 0.2500 [8 per cell]  4 Hf 3.04, 4 Sr 3.04


[7]
This record from Alexandria describes a PBEsol-optimized structure of Sr3HfTe. The functional is SCAN.

Results
DOS(E_F) (states/eV per cell): 4.492
Crystal system: cubic
Raw total energy (eV/cell): -165.8
Size of the total moment (μB/cell): 5.5
Formation energy without anion corrections (eV per atom): 0.194

a = 6.0894 Å, b = 6.0894 Å, c = 6.0894 Å
α = 90.00°, β = 90.00°, γ = 90.00°
Closest atoms and distances in Å follow each position.
Space group Pm-3m (No. 221)
Asymmetric unit:
Sr 0.0000 0.0000 0.5000 [3 per cell]  2 Te 3.04
Hf 0.5000 0.5000 0.5000 [1 per cell]  12 Sr 4.31
Te 0.0000 0.0000 0.0000 [1 per cell]  6 Sr 3.04


[8]
This record from Alexandria describes a PBEsol-optimized structure of Sr2HfTeW. The functional is SCAN.

Results
DOS(E_F) (states/eV per cell): 4.383
Crystal system: tetragonal
Raw total energy (eV/cell): -209.4
Size of the total moment (μB/cell): 0.8
Formation energy without anion corrections (eV per atom): 0.962

a = 6.0752 Å, b = 6.0752 Å, c = 4.7032 Å
α = 90.00°, β = 90.00°, γ = 90.00°
Closest atoms and distances in Å follow each position.
Space group P4/mmm (No. 123)
Asymmetric unit:
Sr 0.0000 0.5000 0.0000 [2 per cell]  2 Hf 3.04
Hf 0.0000 0.0000 0.0000 [1 per cell]  2 W 2.35
Te 0.5000 0.5000 0.5000 [1 per cell]  8 Sr 3.84, 4 W 4.30
W 0.0000 0.0000 0.5000 [1 per cell]  2 Hf 2.35


[9]
This record from Alexandria describes a PBEsol-optimized structure of SrHfTi2. The functional is SCAN.

Results
DOS(E_F) (states/eV per cell): 26.162
Crystal system: cubic
Raw total energy (eV/cell): -456.3
ΔE_f (meV per atom): 732
Size of the total moment (μB/cell): 13.4

a = 7.0931 Å, b = 7.0931 Å, c = 7.0931 Å
α = 90.00°, β = 90.00°, γ = 90.00°
Closest atoms and distances in Å follow each position.
Space group Fm-3m (No. 225)
Asymmetric unit:
Sr 0.0000 0.0000 0.0000 [4 per cell]  8 Ti 3.07
Hf 0.0000 0.0000 0.5000 [4 per cell]  8 Ti 3.07
Ti 0.2500 0.2500 0.2500 [8 per cell]  4 Hf 3.07, 4 Sr 3.07


[10]
This record from Alexandria describes a PBEsol-optimized structure of SrHf2Tl. The functional is SCAN.

Results
DOS(E_F) (states/eV per cell): 17.368
Crystal system: cubic
Raw total energy (eV/cell): -870.2
ΔE_f (meV per atom): 604
Size of the total moment (μB/cell): 0.0

a = 7.2320 Å, b = 7.2320 Å, c = 7.2320 Å
α = 90.00°, β = 90.00°, γ = 90.00°
Closest atoms and distances in Å follow each position.
Space group Fm-3m (No. 225)
Asymmetric unit:
Sr 0.0000 0.0000 0.0000 [4 per cell]  8 Hf 3.13
Hf 0.2500 0.2500 0.2500 [8 per cell]  4 Tl 3.13, 4 Sr 3.13
Tl 0.0000 0.0000 0.5000 [4 per cell]  8 Hf 3.13


[11]
This record from Alexandria describes a PBEsol-optimized structure of SrHfW2. The functional is SCAN.

Results
DOS(E_F) (states/eV per cell): 23.088
Crystal system: cubic
Raw total energy (eV/cell): -875.0
ΔE_f (meV per atom): 1395
Size of the total moment (μB/cell): 0.0

a = 6.8282 Å, b = 6.8282 Å, c = 6.8282 Å
α = 90.00°, β = 90.00°, γ = 90.00°
Closest atoms and distances in Å follow each position.
Space group Fm-3m (No. 225)
Asymmetric unit:
Sr 0.0000 0.0000 0.0000 [4 per cell]  8 W 2.96
Hf 0.0000 0.0000 0.5000 [4 per cell]  8 W 2.96
W 0.2500 0.2500 0.2500 [8 per cell]  4 Hf 2.96, 4 Sr 2.96


[12]
This record from Alexandria describes a PBEsol-optimized structure of HfTa2ZnTc. The functional is SCAN.

Results
DOS(E_F) (states/eV per cell): 5.309
Crystal system: tetragonal
Raw total energy (eV/cell): -238.7
ΔE_f (meV per atom): 1150
Size of the total moment (μB/cell): 0.0

a = 4.6483 Å, b = 4.6483 Å, c = 4.4664 Å
α = 90.00°, β = 90.00°, γ = 90.00°
Closest atoms and distances in Å follow each position.
Space group P4/mmm (No. 123)
Asymmetric unit:
Hf 0.0000 0.0000 0.0000 [1 per cell]  8 Ta 3.22, 4 Tc 3.29
Ta 0.0000 0.5000 0.5000 [2 per cell]  2 Zn 2.32
Zn 0.5000 0.5000 0.5000 [1 per cell]  2 Tc 2.23, 4 Ta 2.32
Tc 0.5000 0.5000 0.0000 [1 per cell]  2 Zn 2.23